Crystalline LaSiIr at its relaxed geometry, computed with GGA-PBE.

abc: 6.524 6.524 6.524
angles: 90.00 90.00 90.00
Space group F-43m (No. 216)
Unique sites:
La1 0.000 0.000 0.000
Si1 0.000 0.000 0.500
Ir1 0.250 0.250 0.750

Output
* formation energy from raw total energies: -0.402 eV per atom

Crystalline LaSi2Ir at its relaxed geometry, computed with GGA-PBE.

abc: 6.654 6.654 6.654
angles: 90.00 90.00 90.00
Space group Fm-3m (No. 225)
Unique sites:
La1 0.000 0.000 0.000
Si1 0.250 0.250 0.250
Ir1 0.000 0.000 0.500

Output
* formation energy from raw total energies: -0.184 eV per atom

Crystalline LaSiIr at its relaxed geometry, computed with GGA-PBE.

abc: 6.715 6.715 6.715
angles: 90.00 90.00 90.00
Space group F-43m (No. 216)
Unique sites:
La1 0.000 0.000 0.000
Si1 0.250 0.250 0.250
Ir1 0.250 0.250 0.750

Output
* formation energy from raw total energies: 0.455 eV per atom

Crystalline LaSiIr at its relaxed geometry, computed with GGA-PBE.

abc: 4.1552 4.1552 4.4251
angles: 90.00 90.00 120.00
Space group P-6m2 (No. 187)
Unique sites:
La1 0.0000 0.0000 0.0000
Si1 0.3333 0.6667 0.5000
Ir1 0.6667 0.3333 0.5000

Output
* formation energy from raw total energies: -0.895 eV per atom